[1]
Here is a relaxed TaTi2Mo crystal from Alexandria. Energies are from PBE.

Energy of formation from the pure elements   2.0 eV per formula unit
Density of states at the Fermi level   4.21 states/eV/f.u.
Excess energy over the best structure of this formula in the dataset   2.366 eV per formula unit
E   -72.96 eV for the cell shown
Theoretical density   8.8 g/cm3

a = 5.7484 Å, b = 5.7484 Å, c = 5.7484 Å
α = 103.27°, β = 103.27°, γ = 122.75°
Last column: nearest neighbours and their distance in Å.
Atoms (fractional coordinates):
Ta 0.0000 0.0000 0.0000  4 Ti 2.70, 2 Mo 2.75
Ta 0.7500 0.2500 0.5000  4 Ti 2.70, 2 Mo 2.75
Ti 0.1418 0.6250 0.0168  2 Mo 2.54, 2 Ta 2.70, 2 Ti 2.76
Ti 0.3750 0.3918 0.5168  2 Mo 2.54, 2 Ta 2.70, 2 Ti 2.76
Ti 0.6082 0.1250 0.9832  2 Mo 2.54, 2 Ta 2.70, 2 Ti 2.76
Ti 0.8750 0.8582 0.4832  2 Mo 2.54, 2 Ta 2.70, 2 Ti 2.76
Mo 0.2500 0.7500 0.5000  4 Ti 2.54, 2 Ta 2.75
Mo 0.5000 0.5000 0.0000  4 Ti 2.54, 2 Ta 2.75

***

[2]
Here is a relaxed CaLa5Bi4 crystal from Alexandria. Energies are from PBE.

Energy of formation from the pure elements   -7.6 eV per formula unit
Density of states at the Fermi level   9.18 states/eV/f.u.
Excess energy over the best structure of this formula in the dataset   0.000 eV per formula unit
E   -49.73 eV for the cell shown
Theoretical density   7.3 g/cm3

a = 8.9348 Å, b = 8.9348 Å, c = 8.9348 Å
α = 148.52°, β = 101.70°, γ = 86.81°
Last column: nearest neighbours and their distance in Å.
Atoms (fractional coordinates):
Ca 0.0000 0.0000 0.0000  4 Bi 3.21-3.30
La 0.0256 0.3411 0.6846  5 Bi 3.39-3.76, 2 La 3.69
La 0.3435 0.6589 0.6846  5 Bi 3.39-3.76, 2 La 3.69
La 0.5000 0.5000 0.0000  6 Bi 3.28-3.37
La 0.6565 0.3411 0.3154  5 Bi 3.39-3.76, 2 La 3.69
La 0.9744 0.6589 0.3154  5 Bi 3.39-3.76, 2 La 3.69
Bi 0.2470 0.2470 0.0000  1 Ca 3.21, 5 La 3.28-3.39
Bi 0.2923 0.0000 0.2923  1 Ca 3.30, 6 La 3.37-3.41
Bi 0.7077 0.0000 0.7077  1 Ca 3.30, 6 La 3.37-3.41
Bi 0.7530 0.7530 0.0000  1 Ca 3.21, 5 La 3.28-3.39

***

[3]
Here is a relaxed HfSc2SiN crystal from Alexandria. Energies are from PBE.

Density of states at the Fermi level   3.79 states/eV/f.u.
E   -41.25 eV for the cell shown
Theoretical density   6.3 g/cm3

a = 4.3600 Å, b = 4.3600 Å, c = 4.3270 Å
α = 90.00°, β = 90.00°, γ = 90.00°
Last column: nearest neighbours and their distance in Å.
Atoms (fractional coordinates):
Hf 0.0000 0.0000 0.0000  2 N 2.16
Sc 0.0000 0.5000 0.5000  2 N 2.18
Sc 0.5000 0.0000 0.5000  2 N 2.18
Si 0.5000 0.5000 0.0000  8 Sc 3.07, 4 Hf 3.08
N 0.0000 0.0000 0.5000  2 Hf 2.16, 4 Sc 2.18

***

[4]
Here is a relaxed RbAl2Rh2 crystal from Alexandria. Energies are from PBE.

Energy of formation from the pure elements   -1.5 eV per formula unit
Density of states at the Fermi level   1.12 states/eV/f.u.
Excess energy over the best structure of this formula in the dataset   0.027 eV per formula unit
E   -49.33 eV for the cell shown
Theoretical density   6.4 g/cm3

a = 7.8242 Å, b = 7.8242 Å, c = 2.9162 Å
α = 90.00°, β = 90.00°, γ = 90.00°
Last column: nearest neighbours and their distance in Å.
Atoms (fractional coordinates):
Rb 0.0000 0.0000 0.0000  2 Rb 2.92, 4 Rh 3.01
Rb 0.5000 0.5000 0.0000  2 Rb 2.92, 4 Rh 3.01
Al 0.1325 0.3675 0.5000  6 Rh 2.61-2.87, 2 Al 2.92
Al 0.3675 0.8675 0.5000  6 Rh 2.61-2.87, 2 Al 2.92
Al 0.6325 0.1325 0.5000  6 Rh 2.61-2.87, 2 Al 2.92
Al 0.8675 0.6325 0.5000  6 Rh 2.61-2.87, 2 Al 2.92
Rh 0.1436 0.6436 0.0000  6 Al 2.61-2.87, 2 Rh 2.92
Rh 0.3564 0.1436 0.0000  6 Al 2.61-2.87, 2 Rh 2.92
Rh 0.6436 0.8564 0.0000  6 Al 2.61-2.87, 2 Rh 2.92
Rh 0.8564 0.3564 0.0000  6 Al 2.61-2.87, 2 Rh 2.92

***

[5]
Here is a relaxed Sr3CdGa crystal from Alexandria. Energies are from PBE.

Energy of formation from the pure elements   -0.1 eV per formula unit
Density of states at the Fermi level   4.84 states/eV/f.u.
Excess energy over the best structure of this formula in the dataset   1.326 eV per formula unit
E   -9.13 eV for the cell shown
Theoretical density   3.2 g/cm3

a = 6.1507 Å, b = 6.1507 Å, c = 6.1507 Å
α = 90.00°, β = 90.00°, γ = 90.00°
Last column: nearest neighbours and their distance in Å.
Atoms (fractional coordinates):
Sr 0.0000 0.0000 0.5000  2 Ga 3.08
Sr 0.0000 0.5000 0.0000  2 Ga 3.08
Sr 0.5000 0.0000 0.0000  2 Ga 3.08
Cd 0.5000 0.5000 0.5000  12 Sr 4.35
Ga 0.0000 0.0000 0.0000  6 Sr 3.08

***

[6]
Here is a relaxed KTlTe4 crystal from Alexandria. Energies are from PBE.

Density of states at the Fermi level   0.89 states/eV/f.u.
Excess energy over the best structure of this formula in the dataset   0.805 eV per formula unit
E   -17.38 eV for the cell shown
Theoretical density   6.1 g/cm3

a = 6.6186 Å, b = 6.6186 Å, c = 6.6186 Å
α = 60.00°, β = 60.00°, γ = 60.00°
Last column: nearest neighbours and their distance in Å.
Atoms (fractional coordinates):
K 0.0000 0.0000 0.0000  12 Te 3.88, 4 Tl 4.05
Tl 0.2500 0.2500 0.2500  12 Te 3.88, 4 K 4.05
Te 0.1258 0.6247 0.6247  6 Te 3.30-3.32
Te 0.6247 0.1258 0.6247  6 Te 3.30-3.32
Te 0.6247 0.6247 0.1258  6 Te 3.30-3.32
Te 0.6247 0.6247 0.6247  6 Te 3.30-3.32

***

[7]
Here is a relaxed GaCu4Ni15 crystal from Alexandria. Energies are from PBE.

Energy of formation from the pure elements   -0.5 eV per formula unit
Density of states at the Fermi level   24.37 states/eV/f.u.
E   -106.63 eV for the cell shown
Theoretical density   8.9 g/cm3

a = 3.5532 Å, b = 3.5532 Å, c = 17.7015 Å
α = 90.00°, β = 90.00°, γ = 90.00°
Last column: nearest neighbours and their distance in Å.
Atoms (fractional coordinates):
Ga 0.0000 0.0000 0.0000  12 Ni 2.51-2.53
Cu 0.0000 0.0000 0.2012  12 Ni 2.50-2.51
Cu 0.0000 0.0000 0.4002  12 Ni 2.50-2.51
Cu 0.0000 0.0000 0.5998  12 Ni 2.50-2.51
Cu 0.0000 0.0000 0.7988  12 Ni 2.50-2.51
Ni 0.0000 0.5000 0.1015  8 Ni 2.50-2.53, 2 Cu 2.50, 2 Ga 2.53
Ni 0.0000 0.5000 0.3007  4 Cu 2.50, 8 Ni 2.50-2.51
Ni 0.0000 0.5000 0.5000  8 Ni 2.50-2.51, 4 Cu 2.51
Ni 0.0000 0.5000 0.6993  4 Cu 2.50, 8 Ni 2.50-2.51
Ni 0.0000 0.5000 0.8985  8 Ni 2.50-2.53, 2 Cu 2.50, 2 Ga 2.53
Ni 0.5000 0.0000 0.1015  8 Ni 2.50-2.53, 2 Cu 2.50, 2 Ga 2.53
Ni 0.5000 0.0000 0.3007  4 Cu 2.50, 8 Ni 2.50-2.51
Ni 0.5000 0.0000 0.5000  8 Ni 2.50-2.51, 4 Cu 2.51
Ni 0.5000 0.0000 0.6993  4 Cu 2.50, 8 Ni 2.50-2.51
Ni 0.5000 0.0000 0.8985  8 Ni 2.50-2.53, 2 Cu 2.50, 2 Ga 2.53
Ni 0.5000 0.5000 0.0000  4 Ga 2.51, 8 Ni 2.53
Ni 0.5000 0.5000 0.2012  8 Ni 2.50, 4 Cu 2.51
Ni 0.5000 0.5000 0.4004  8 Ni 2.50, 4 Cu 2.51
Ni 0.5000 0.5000 0.5996  8 Ni 2.50, 4 Cu 2.51
Ni 0.5000 0.5000 0.7988  8 Ni 2.50, 4 Cu 2.51

***

[8]
Here is a relaxed K2MnNbTl crystal from Alexandria. Energies are from PBE.

Energy of formation from the pure elements   7.3 eV per formula unit
Density of states at the Fermi level   6.47 states/eV/f.u.
E   -16.48 eV for the cell shown
Theoretical density   3.3 g/cm3

a = 6.4563 Å, b = 6.4563 Å, c = 5.1659 Å
α = 90.00°, β = 90.00°, γ = 90.00°
Last column: nearest neighbours and their distance in Å.
Atoms (fractional coordinates):
K 0.0000 0.5000 0.0000  2 Tl 3.23
K 0.5000 0.0000 0.0000  2 Tl 3.23
Mn 0.0000 0.0000 0.5000  2 Tl 2.58
Nb 0.5000 0.5000 0.5000  8 K 4.13, 4 Mn 4.57
Tl 0.0000 0.0000 0.0000  2 Mn 2.58

***

[9]
Here is a relaxed CaLa2Au2 crystal from Alexandria. Energies are from PBE.

Energy of formation from the pure elements   -3.5 eV per formula unit
Density of states at the Fermi level   8.40 states/eV/f.u.
Excess energy over the best structure of this formula in the dataset   0.000 eV per formula unit
E   -43.72 eV for the cell shown
Theoretical density   8.1 g/cm3

a = 8.5004 Å, b = 8.5004 Å, c = 4.0419 Å
α = 90.00°, β = 90.00°, γ = 90.00°
Last column: nearest neighbours and their distance in Å.
Atoms (fractional coordinates):
Ca 0.0000 0.0000 0.0000  4 Au 3.31
Ca 0.5000 0.5000 0.0000  4 Au 3.31
La 0.1603 0.3397 0.5000  6 Au 3.18-3.23
La 0.3397 0.8397 0.5000  6 Au 3.18-3.23
La 0.6603 0.1603 0.5000  6 Au 3.18-3.23
La 0.8397 0.6603 0.5000  6 Au 3.18-3.23
Au 0.1352 0.6352 0.0000  6 La 3.18-3.23, 1 Au 3.25, 2 Ca 3.31
Au 0.3648 0.1352 0.0000  6 La 3.18-3.23, 1 Au 3.25, 2 Ca 3.31
Au 0.6352 0.8648 0.0000  6 La 3.18-3.23, 1 Au 3.25, 2 Ca 3.31
Au 0.8648 0.3648 0.0000  6 La 3.18-3.23, 1 Au 3.25, 2 Ca 3.31

***

[10]
Here is a relaxed La2AgMo crystal from Alexandria. Energies are from PBE.

Energy of formation from the pure elements   1.2 eV per formula unit
Density of states at the Fermi level   4.72 states/eV/f.u.
Excess energy over the best structure of this formula in the dataset   0.481 eV per formula unit
E   -22.34 eV for the cell shown
Theoretical density   7.8 g/cm3

a = 6.3497 Å, b = 6.3497 Å, c = 6.3497 Å
α = 147.30°, β = 131.94°, γ = 59.35°
Last column: nearest neighbours and their distance in Å.
Atoms (fractional coordinates):
La 0.0000 0.0000 0.0000  2 Mo 3.13, 4 Ag 3.24, 2 La 3.46
La 0.7080 0.2080 0.5000  4 Mo 3.16, 2 La 3.46
Ag 0.4306 0.4306 0.0000  2 Mo 2.82
Mo 0.2328 0.7328 0.5000  2 Ag 2.82, 6 La 3.13-3.16

***

[11]
Here is a relaxed TlAgF2 crystal from Alexandria. Energies are from PBE.

Excess energy over the best structure of this formula in the dataset   0.060 eV per formula unit
E   -14.25 eV for the cell shown
Theoretical density   7.7 g/cm3

a = 3.5366 Å, b = 3.7896 Å, c = 6.1149 Å
α = 102.28°, β = 91.60°, γ = 107.52°
Last column: nearest neighbours and their distance in Å.
Atoms (fractional coordinates):
Tl 0.0000 0.0000 0.0000  5 F 2.65-2.94
Ag 0.7852 0.4469 0.4682  5 F 2.43-2.49
F 0.3079 0.5085 0.7538  2 Ag 2.43-2.49, 2 Tl 2.65-2.69
F 0.3910 0.7809 0.3058  3 Ag 2.46-2.49, 1 Tl 2.70

***

Please write out number 9 again, unchanged.
Here is a relaxed CaLa2Au2 crystal from Alexandria. Energies are from PBE.

Energy of formation from the pure elements   -3.5 eV per formula unit
Density of states at the Fermi level   8.40 states/eV/f.u.
Excess energy over the best structure of this formula in the dataset   0.000 eV per formula unit
E   -43.72 eV for the cell shown
Theoretical density   8.1 g/cm3

a = 8.5004 Å, b = 8.5004 Å, c = 4.0419 Å
α = 90.00°, β = 90.00°, γ = 90.00°
Last column: nearest neighbours and their distance in Å.
Atoms (fractional coordinates):
Ca 0.0000 0.0000 0.0000  4 Au 3.31
Ca 0.5000 0.5000 0.0000  4 Au 3.31
La 0.1603 0.3397 0.5000  6 Au 3.18-3.23
La 0.3397 0.8397 0.5000  6 Au 3.18-3.23
La 0.6603 0.1603 0.5000  6 Au 3.18-3.23
La 0.8397 0.6603 0.5000  6 Au 3.18-3.23
Au 0.1352 0.6352 0.0000  6 La 3.18-3.23, 1 Au 3.25, 2 Ca 3.31
Au 0.3648 0.1352 0.0000  6 La 3.18-3.23, 1 Au 3.25, 2 Ca 3.31
Au 0.6352 0.8648 0.0000  6 La 3.18-3.23, 1 Au 3.25, 2 Ca 3.31
Au 0.8648 0.3648 0.0000  6 La 3.18-3.23, 1 Au 3.25, 2 Ca 3.31